## NaCuF2 (PBE)

Data for crystalline NaCuF2 at its relaxed geometry.

Summary:
total moment: 0.000 μB per formula unit
total energy: -3.85 eV per atom
space-group type: No. 225
raw formation energy: -1563 meV per atom

abc: 3.992 3.992 3.992
angles: 60.00 60.00 60.00
Atoms (fractional coordinates):
Na  0.000  0.000  0.000
Cu  0.500  0.500  0.500
F  0.250  0.250  0.250
F  0.750  0.750  0.750